[1]
## RbTaO4 (PBE-GGA)

Data for a relaxed RbTaO4 crystal.

Cell and atoms, written as POSCAR:
```
RbTaO4
1.0
-1.493 -3.110 -0.264
2.333 -1.306 2.196
-4.189 1.554 5.376
O Rb Ta
4 1 1
direct
0.500 0.000 0.674
0.000 0.500 0.326
0.000 0.500 0.674
0.500 0.000 0.326
0.000 0.000 0.000
0.500 0.500 0.500
```

Summary:
Raw formation energy, kJ/mol of formula units: -950
Total energy, eV per atom: -7.084

***

[2]
## Rb3TaO (PBE-GGA)

Data for a relaxed Rb3TaO crystal.

Cell and atoms, written as POSCAR:
```
Rb3TaO
1.0
-4.467 3.114 -1.811
1.229 -1.393 -5.429
-3.386 -4.614 0.418
Rb Ta O
3 1 1
direct
0.500 0.000 0.000
0.000 0.500 0.000
0.000 0.000 0.500
0.500 0.500 0.500
0.000 0.000 0.000
```

Summary:
Offset from the most stable computed form, eV per formula unit: 0.00
Raw formation energy, kJ/mol of formula units: 343
Total energy, eV per atom: -3.233

***

[3]
## Rb4TaO4 (PBE-GGA)

Data for a relaxed Rb4TaO4 crystal.

Cell and atoms, written as POSCAR:
```
Rb4TaO4
1.0
9.774 0.000 0.000
0.000 7.388 0.000
0.000 0.000 7.388
Rb Ta O
8 2 8
direct
0.680 0.000 0.264
0.820 0.500 0.764
0.180 0.236 0.500
0.320 0.736 0.000
0.680 0.000 0.736
0.180 0.764 0.500
0.320 0.264 0.000
0.820 0.500 0.236
0.000 0.000 0.000
0.500 0.500 0.500
0.618 0.298 0.500
0.118 0.000 0.202
0.382 0.500 0.298
0.618 0.702 0.500
0.382 0.500 0.702
0.882 0.798 0.000
0.882 0.202 0.000
0.118 0.000 0.798
```

Summary:
Raw formation energy, kJ/mol of formula units: -1645
Total energy, eV per atom: -5.845

***

[4]
## RbTa2O7 (PBE-GGA)

Data for a relaxed RbTa2O7 crystal.

Cell and atoms, written as POSCAR:
```
RbTa2O7
1.0
-3.613 -0.693 1.360
2.422 -3.956 4.418
-0.474 6.113 1.855
Rb O Ta
1 7 2
direct
0.000 0.000 0.000
0.000 0.687 0.313
0.500 0.631 0.975
0.500 0.025 0.369
0.500 0.975 0.631
0.500 0.500 0.500
0.500 0.369 0.025
0.000 0.313 0.687
0.500 0.322 0.678
0.500 0.678 0.322
```

Summary:
Raw formation energy, kJ/mol of formula units: -1987
Total energy, eV per atom: -7.998

***

[5]
## RbTaO3 (PBE-GGA)

Data for a relaxed RbTaO3 crystal.

Cell and atoms, written as POSCAR:
```
RbTaO3
1.0
3.982 0.000 0.000
0.000 9.217 0.000
-1.991 -4.608 6.904
Rb Ta O
2 2 6
direct
0.500 0.000 0.000
0.000 0.500 0.000
0.750 0.853 0.500
0.250 0.147 0.500
0.640 0.636 0.281
0.750 0.084 0.500
0.140 0.145 0.281
0.360 0.364 0.719
0.860 0.855 0.719
0.250 0.916 0.500
```

Summary:
Raw formation energy, kJ/mol of formula units: -1203
Total energy, eV per atom: -8.033

***

[6]
## Rb2TaO4 (PBE-GGA)

Data for a relaxed Rb2TaO4 crystal.

Cell and atoms, written as POSCAR:
```
Rb2TaO4
1.0
4.075 0.000 0.000
0.000 4.075 0.000
-2.038 -2.038 7.366
O Rb Ta
4 2 1
direct
0.867 0.867 0.734
0.000 0.500 0.000
0.133 0.133 0.266
0.500 0.000 0.000
0.658 0.658 0.316
0.342 0.342 0.684
0.000 0.000 0.000
```

Summary:
Raw formation energy, kJ/mol of formula units: -1421
Total energy, eV per atom: -6.907

***

[7]
## RbTaO3 (PBE-GGA)

Data for a relaxed RbTaO3 crystal.

Cell and atoms, written as POSCAR:
```
RbTaO3
1.0
4.071 0.000 0.000
0.000 4.071 0.000
0.000 0.000 4.071
Rb O Ta
1 3 1
direct
0.500 0.500 0.500
0.500 0.000 0.000
0.000 0.000 0.500
0.000 0.500 0.000
0.000 0.000 0.000
```

Summary:
Raw formation energy, kJ/mol of formula units: -1236
Total energy, eV per atom: -8.101

***

[8]
## RbTaO3 (PBE-GGA)

Data for a relaxed RbTaO3 crystal.

Cell and atoms, written as POSCAR:
```
RbTaO3
1.0
-2.201 -0.182 -3.650
3.360 -1.777 -1.937
-1.438 -3.874 1.060
O Rb Ta
3 1 1
direct
0.000 0.000 0.500
0.000 0.500 0.000
0.500 0.000 0.000
0.000 0.000 0.000
0.500 0.500 0.500
```

Summary:
Raw formation energy, kJ/mol of formula units: 711
Total energy, eV per atom: -4.066

***

[9]
## Rb3Ta2O7 (PBE-GGA)

Data for a relaxed Rb3Ta2O7 crystal.

Cell and atoms, written as POSCAR:
```
Rb3Ta2O7
1.0
-2.294 0.249 3.354
-3.356 -0.434 -2.263
3.446 -11.337 0.728
O Ta Rb
7 2 3
direct
0.590 0.090 0.180
0.825 0.825 0.650
0.410 0.910 0.820
0.000 0.000 0.000
0.175 0.175 0.350
0.090 0.590 0.180
0.910 0.410 0.820
0.094 0.094 0.187
0.906 0.906 0.813
0.500 0.500 0.000
0.308 0.308 0.616
0.692 0.692 0.384
```

Summary:
Raw formation energy, kJ/mol of formula units: -2677
Total energy, eV per atom: -7.422

***

[10]
## Rb4TaO5 (PBE-GGA)

Data for a relaxed Rb4TaO5 crystal.

Cell and atoms, written as POSCAR:
```
Rb4TaO5
1.0
5.457 0.000 2.632
2.729 6.016 1.316
0.115 0.000 6.734
Ta O Rb
1 5 4
direct
0.069 0.000 0.000
0.921 0.284 0.854
0.775 0.146 0.284
0.059 0.716 0.146
0.205 0.854 0.716
0.377 0.000 0.000
0.430 0.392 0.802
0.231 0.198 0.392
0.821 0.802 0.608
0.623 0.608 0.198
```

Summary:
Raw formation energy, kJ/mol of formula units: -1830
Total energy, eV per atom: -5.948

***

[11]
## Rb3TaO4 (PBE-GGA)

Data for a relaxed Rb3TaO4 crystal.

Cell and atoms, written as POSCAR:
```
Rb3TaO4
1.0
-6.343 -1.675 5.428
-2.570 -7.562 -5.338
5.494 -5.255 4.799
O Rb Ta
16 12 4
direct
0.284 0.205 0.750
0.513 0.059 0.250
0.321 0.448 0.077
0.987 0.559 0.750
0.487 0.941 0.750
0.821 0.052 0.077
0.784 0.295 0.750
0.679 0.552 0.577
0.179 0.948 0.923
0.821 0.052 0.423
0.679 0.552 0.923
0.013 0.441 0.250
0.321 0.448 0.423
0.179 0.948 0.577
0.716 0.795 0.250
0.216 0.705 0.250
0.035 0.262 0.516
0.035 0.262 0.984
0.465 0.762 0.484
0.965 0.738 0.484
0.535 0.238 0.984
0.965 0.738 0.016
0.193 0.995 0.250
0.307 0.495 0.750
0.465 0.762 0.016
0.535 0.238 0.516
0.693 0.505 0.250
0.807 0.005 0.750
0.720 0.991 0.250
0.280 0.009 0.750
0.780 0.491 0.750
0.220 0.509 0.250
```

Summary:
Raw formation energy, kJ/mol of formula units: -1719
Total energy, eV per atom: -6.550

***

[12]
## Rb3TaO4 (PBE-GGA)

Data for a relaxed Rb3TaO4 crystal.

Cell and atoms, written as POSCAR:
```
Rb3TaO4
1.0
6.198 -0.032 -0.050
-2.477 5.682 0.050
-2.477 -2.419 5.141
O Rb Ta
4 3 1
direct
0.000 0.297 0.703
0.595 0.297 0.297
0.405 0.703 0.703
0.000 0.703 0.297
0.500 0.250 0.750
0.000 0.000 0.000
0.500 0.750 0.250
0.000 0.500 0.500
```

Summary:
Raw formation energy, kJ/mol of formula units: -1269
Total energy, eV per atom: -5.967